1.
Material: Er3Cu4Si2Ge2
Method: DFT, PBE
State: relaxed

```
data_Er3Cu4Si2Ge2
_symmetry_space_group_name_H-M 'I m m m'
_symmetry_Int_Tables_number 71
_symmetry_space_group_name_Hall '-I 2 2'
_cell_length_a 4.1154
_cell_length_b 6.5836
_cell_length_c 13.7299
_cell_angle_alpha 90.00
_cell_angle_beta 90.00
_cell_angle_gamma 90.00
loop_
_atom_site_label
_atom_site_type_symbol
_atom_site_fract_x
_atom_site_fract_y
_atom_site_fract_z
_atom_site_occupancy
Er1 Er 0.0000 0.0000 0.0000 1
Er2 Er 0.0000 0.5000 0.1293 1
Cu1 Cu 0.0000 0.3088 0.3257 1
Si1 Si 0.0000 0.0000 0.2165 1
Ge1 Ge 0.0000 0.1933 0.5000 1
```

Output
Relative energy among the computed polymorphs in eV/atom: 0.0000
M_tot in μB/f.u.: 0.0

2.
Material: Tb2ErCu4Si2Ge2
Method: DFT, PBE
State: relaxed

```
data_Tb2ErCu4Si2Ge2
_symmetry_space_group_name_H-M 'I m m m'
_symmetry_Int_Tables_number 71
_symmetry_space_group_name_Hall '-I 2 2'
_cell_length_a 4.1925
_cell_length_b 6.5561
_cell_length_c 13.7883
_cell_angle_alpha 90.00
_cell_angle_beta 90.00
_cell_angle_gamma 90.00
loop_
_atom_site_label
_atom_site_type_symbol
_atom_site_fract_x
_atom_site_fract_y
_atom_site_fract_z
_atom_site_occupancy
Tb1 Tb 0.0000 0.0000 0.1298 1
Er1 Er 0.0000 0.5000 0.0000 1
Cu1 Cu 0.0000 0.1903 0.3365 1
Si1 Si 0.0000 0.3151 0.5000 1
Ge1 Ge 0.0000 0.5000 0.2156 1
```

Output
Relative energy among the computed polymorphs in eV/atom: 0.0073
M_tot in μB/f.u.: 0.0